Entry 1:
Compound: TbPt3
Source: the Alexandria database
Functional: PBE
Structure: optimized geometry

The structure belongs to space group Pm-3m (No. 221); the cell edges are 4.1293, 4.1293 and 4.1293 Å and the angles 90.00°, 90.00° and 90.00°. The distinct sites, in fractional coordinates, are Tb at (0.0000, 0.0000, 0.0000) and Pt at (0.0000, 0.5000, 0.5000).

Entry 2:
Compound: Tb5Pt4
Source: the Alexandria database
Functional: PBE
Structure: optimized geometry

The structure belongs to space group Pnma (No. 62); the cell edges are 7.5530, 14.6511 and 7.6408 Å and the angles 90.00°, 90.00° and 90.00°. The distinct sites, in fractional coordinates, are Tb at (0.0029, 0.0944, 0.1795), Tb at (0.1573, 0.1222, 0.6672), Tb at (0.1803, 0.7500, 0.5124), Pt at (0.0460, 0.7500, 0.1135), Pt at (0.1831, 0.5425, 0.4685) and Pt at (0.1865, 0.2500, 0.3585).

Entry 3:
Compound: TbPt5
Source: the Alexandria database
Functional: PBE
Structure: optimized geometry

The structure belongs to space group C2/m (No. 12); the cell edges are 5.0143, 8.8286 and 4.9442 Å and the angles 90.00°, 109.81° and 90.00°. The distinct sites, in fractional coordinates, are Tb at (0.0000, 0.0000, 0.0000), Pt at (0.0000, 0.1782, 0.5000), Pt at (0.0000, 0.3362, 0.0000) and Pt at (0.0000, 0.5000, 0.5000).

Entry 4:
Compound: TbPt4
Source: the Alexandria database
Functional: PBE
Structure: optimized geometry

The structure belongs to space group Imma (No. 74); the cell edges are 4.3058, 5.8211 and 14.0197 Å and the angles 90.00°, 90.00° and 90.00°. The distinct sites, in fractional coordinates, are Tb at (0.0000, 0.2500, 0.1073), Pt at (0.0000, 0.0000, 0.5000), Pt at (0.0000, 0.0168, 0.6944) and Pt at (0.0000, 0.2500, 0.8933).

Going through the records in order, we get DOS at the Fermi energy values of 0.929 0.649 0.918 0.835 states/eV per atom.
Going through the records in order, we get formation energy values of -98.3 -111.7 -57.7 -76.1 kJ per mole of atoms.